DFT (GGA-PBE) results for ZrAlCu3 after structural relaxation.

Cell lengths 4.8986, 9.1177, 6.1823 Å; angles 137.51, 113.34, 90.00 degrees
Fractional positions:
Zr 0.2500 0.2364 0.5000
Zr 0.7500 0.7636 0.5000
Al 0.0000 0.5000 0.0000
Al 0.5000 0.0000 0.0000
Cu 0.8169 0.3169 0.1338
Cu 0.3169 0.3169 0.1338
Cu 0.6831 0.6831 0.8662
Cu 0.1831 0.6831 0.8662
Cu 0.2500 0.9393 0.5000
Cu 0.7500 0.0607 0.5000

* energy: -5.085 eV per atom
* magnetization: 0.000 μB/cell
* formation energy: -0.17 eV per atom